CsK2MgCu after structural relaxation, computed with PBE.

Cell lengths 7.987, 7.379, 7.987 Å; angles 90.00, 90.00, 90.00 degrees
Positions (direct):
Cs: 0.000 0.000 0.000
K: 0.000 0.000 0.500
K: 0.500 0.000 0.000
Mg: 0.000 0.500 0.000
Cu: 0.500 0.500 0.500

Properties
- spin magnetization (μB/f.u.) = 0.0
- space-group type = P4/mmm (123)
- theoretical density (g/cm³) = 1.05
- energy of formation (kcal/mol of atoms) = 22.32

=====

La2YPb after structural relaxation, computed with PBE.

Cell lengths 3.763, 5.634, 5.976 Å; angles 90.00, 90.00, 90.00 degrees
Positions (direct):
La: 0.000 0.000 0.000
La: 0.500 0.500 0.000
Pb: 0.500 0.000 0.500
Y: 0.000 0.500 0.500

Properties
- spin magnetization (μB/f.u.) = 0.0
- space-group type = Pmmm (47)
- theoretical density (g/cm³) = 7.52
- energy of formation (kcal/mol of atoms) = -5.27

=====

Pm4HoEr after structural relaxation, computed with PBE.

Cell lengths 5.687, 12.142, 6.704 Å; angles 73.09, 115.10, 90.00 degrees
Positions (direct):
Pm: 0.022 0.784 0.569
Pm: 0.547 0.284 0.569
Pm: 0.798 0.049 0.098
Pm: 0.300 0.549 0.098
Pm: 0.202 0.951 0.902
Pm: 0.700 0.451 0.902
Pm: 0.978 0.216 0.431
Pm: 0.453 0.716 0.431
Ho: 0.000 0.500 0.500
Ho: 0.500 0.000 0.500
Er: 0.252 0.250 0.000
Er: 0.748 0.750 0.000

Properties
- spin magnetization (μB/f.u.) = 0.0
- space-group type = C2/c (15)
- theoretical density (g/cm³) = 7.63
- energy of formation (kcal/mol of atoms) = 1.34

=====

Rb6ZnAu after structural relaxation, computed with PBE.

Cell lengths 4.757, 10.520, 10.519 Å; angles 93.54, 90.00, 90.00 degrees
Positions (direct):
Rb: 0.000 0.512 0.778
Rb: 0.000 0.222 0.488
Rb: 0.000 0.671 0.329
Rb: 0.500 0.913 0.658
Rb: 0.500 0.342 0.087
Rb: 0.500 0.948 0.052
Zn: 0.000 0.162 0.838
Au: 0.500 0.231 0.769

Properties
- spin magnetization (μB/f.u.) = 0.0
- space-group type = Amm2 (38)
- theoretical density (g/cm³) = 2.45
- energy of formation (kcal/mol of atoms) = -1.33

=====

Ba2LiGaW after structural relaxation, computed with PBE.

Cell lengths 5.990, 4.687, 5.990 Å; angles 90.00, 90.00, 90.00 degrees
Positions (direct):
Ga: 0.000 0.500 0.000
Ba: 0.000 0.000 0.500
Ba: 0.500 0.000 0.000
W: 0.500 0.500 0.500
Li: 0.000 0.000 0.000

Properties
- spin magnetization (μB/f.u.) = 4.0
- space-group type = P4/mmm (123)
- theoretical density (g/cm³) = 5.28
- energy of formation (kcal/mol of atoms) = 24.24

=====

Er5Ni2Sn5 after structural relaxation, computed with PBE.

Cell lengths 4.482, 8.258, 8.307 Å; angles 93.45, 74.35, 74.26 degrees
Positions (direct):
Er: 0.000 0.500 0.500
Er: 0.701 0.672 0.927
Er: 0.352 0.972 0.324
Er: 0.648 0.028 0.676
Er: 0.299 0.328 0.073
Ni: 0.413 0.441 0.733
Ni: 0.587 0.559 0.267
Sn: 0.697 0.250 0.356
Sn: 0.963 0.288 0.786
Sn: 0.037 0.712 0.214
Sn: 0.303 0.750 0.644
Sn: 0.000 0.000 0.000

Properties
- spin magnetization (μB/f.u.) = 0.0
- space-group type = C2/m (12)
- theoretical density (g/cm³) = 9.11
- energy of formation (kcal/mol of atoms) = -14.61